## w
This record from Alexandria describes crystalline Cu3SiCl at its relaxed geometry. The functional is PBE-GGA.

Lattice parameters (Å, degrees): 4.531 4.531 4.531 90.00 90.00 90.00
Fractional positions:
Si: 0.000 0.000 0.000
Cu: 0.500 0.000 0.000
Cu: 0.000 0.000 0.500
Cu: 0.000 0.500 0.000
Cl: 0.500 0.500 0.500

Results
* symmetry: Pm-3m (221)
* crystal system: cubic
* N(E_F): 8.40 states/eV/cell


## x
This record from Alexandria describes crystalline Cu3SiCl at its relaxed geometry. The functional is PBE-GGA.

Lattice parameters (Å, degrees): 4.445 4.445 4.445 90.00 90.00 90.00
Fractional positions:
Si: 0.500 0.500 0.500
Cl: 0.000 0.000 0.000
Cu: 0.500 0.000 0.000
Cu: 0.000 0.000 0.500
Cu: 0.000 0.500 0.000

Results
* symmetry: Pm-3m (221)
* crystal system: cubic
* N(E_F): 2.55 states/eV/cell


The least stable of them is x.


## w
This record from Alexandria describes crystalline CuSi2TeCl at its relaxed geometry. The functional is PBE-GGA.

Lattice parameters (Å, degrees): 4.669 5.601 4.669 90.00 90.00 90.00
Fractional positions:
Te: 0.000 0.500 0.000
Si: 0.000 0.000 0.500
Si: 0.500 0.000 0.000
Cu: 0.500 0.500 0.500
Cl: 0.000 0.000 0.000

Results
* symmetry: P4/mmm (123)
* crystal system: tetragonal
* N(E_F): 1.49 states/eV/cell


## x
This record from Alexandria describes crystalline CuSi2TeCl at its relaxed geometry. The functional is PBE-GGA.

Lattice parameters (Å, degrees): 5.548 4.762 5.548 90.00 90.00 90.00
Fractional positions:
Cl: 0.500 0.500 0.500
Te: 0.000 0.000 0.000
Cu: 0.000 0.500 0.000
Si: 0.000 0.000 0.500
Si: 0.500 0.000 0.000

Results
* symmetry: P4/mmm (123)
* crystal system: tetragonal
* N(E_F): 5.75 states/eV/cell


The least stable of them is w.


## w
This record from Alexandria describes crystalline CuSnCl2 at its relaxed geometry. The functional is PBE-GGA.

Lattice parameters (Å, degrees): 6.629 6.629 6.716 60.43 60.43 90.00
Fractional positions:
Cl: 0.538 0.125 0.250
Cl: 0.212 0.625 0.250
Cl: 0.375 0.462 0.750
Cl: 0.875 0.788 0.750
Cu: 0.250 0.750 0.500
Cu: 0.500 0.500 0.000
Sn: 0.000 0.000 0.000
Sn: 0.750 0.250 0.500

Results
* symmetry: I-42d (122)
* crystal system: tetragonal
* N(E_F): 4.10 states/eV/cell


## x
This record from Alexandria describes crystalline CuSnCl2 at its relaxed geometry. The functional is PBE-GGA.

Lattice parameters (Å, degrees): 4.983 4.983 4.983 60.00 60.00 60.00
Fractional positions:
Cu: 0.000 0.000 0.000
Sn: 0.500 0.500 0.500
Cl: 0.250 0.250 0.250
Cl: 0.750 0.750 0.750

Results
* symmetry: Fm-3m (225)
* crystal system: cubic
* N(E_F): 1.55 states/eV/cell


## y
This record from Alexandria describes crystalline CuSnCl2 at its relaxed geometry. The functional is PBE-GGA.

Lattice parameters (Å, degrees): 3.547 3.547 8.669 78.20 78.20 60.00
Fractional positions:
Cu: 0.500 0.500 0.500
Cl: 0.889 0.889 0.332
Cl: 0.111 0.111 0.668
Sn: 0.000 0.000 0.000

Results
* symmetry: R-3m (166)
* crystal system: trigonal
* N(E_F): 5.16 states/eV/cell


The least stable of them is x.


## w
This record from Alexandria describes crystalline Cu2SnCl6 at its relaxed geometry. The functional is PBE-GGA.

Lattice parameters (Å, degrees): 6.774 8.467 8.467 84.81 82.17 82.17
Fractional positions:
Cl: 0.893 0.199 0.054
Cl: 0.624 0.286 0.449
Cl: 0.135 0.133 0.619
Cl: 0.865 0.867 0.381
Cl: 0.376 0.714 0.551
Cl: 0.107 0.801 0.946
Cl: 0.635 0.619 0.133
Cl: 0.876 0.551 0.714
Cl: 0.365 0.381 0.867
Cl: 0.124 0.449 0.286
Cl: 0.393 0.054 0.199
Cl: 0.607 0.946 0.801
Cu: 0.682 0.749 0.599
Cu: 0.318 0.251 0.401
Cu: 0.182 0.599 0.749
Cu: 0.818 0.401 0.251
Sn: 0.250 0.110 0.890
Sn: 0.750 0.890 0.110

Results
* symmetry: C2/c (15)
* crystal system: monoclinic
* N(E_F): 15.95 states/eV/cell


## x
This record from Alexandria describes crystalline Cu2SnCl6 at its relaxed geometry. The functional is PBE-GGA.

Lattice parameters (Å, degrees): 5.618 10.958 10.958 73.88 74.71 74.71
Fractional positions:
Sn: 0.750 0.776 0.224
Sn: 0.250 0.224 0.776
Cl: 0.725 0.609 0.853
Cl: 0.775 0.147 0.391
Cl: 0.585 0.595 0.249
Cl: 0.562 0.036 0.795
Cl: 0.225 0.853 0.609
Cl: 0.915 0.751 0.405
Cl: 0.438 0.964 0.205
Cl: 0.415 0.405 0.751
Cl: 0.062 0.795 0.036
Cl: 0.085 0.249 0.595
Cl: 0.938 0.205 0.964
Cl: 0.275 0.391 0.147
Cu: 0.024 0.270 0.270
Cu: 0.976 0.730 0.730
Cu: 0.524 0.270 0.270
Cu: 0.476 0.730 0.730

Results
* symmetry: C2/c (15)
* crystal system: monoclinic


The least stable of them is w.


## w
This record from Alexandria describes crystalline Cu3SnCl at its relaxed geometry. The functional is PBE-GGA.

Lattice parameters (Å, degrees): 4.559 4.559 4.559 90.00 90.00 90.00
Fractional positions:
Cu: 0.500 0.000 0.000
Cu: 0.000 0.500 0.000
Cu: 0.000 0.000 0.500
Sn: 0.500 0.500 0.500
Cl: 0.000 0.000 0.000

Results
* symmetry: Pm-3m (221)
* crystal system: cubic
* N(E_F): 2.17 states/eV/cell


## x
This record from Alexandria describes crystalline Cu3SnCl at its relaxed geometry. The functional is PBE-GGA.

Lattice parameters (Å, degrees): 4.947 4.947 4.947 90.00 90.00 90.00
Fractional positions:
Sn: 0.000 0.000 0.000
Cl: 0.500 0.500 0.500
Cu: 0.500 0.000 0.000
Cu: 0.000 0.000 0.500
Cu: 0.000 0.500 0.000

Results
* symmetry: Pm-3m (221)
* crystal system: cubic
* N(E_F): 8.61 states/eV/cell


The least stable of them is x.


## w
This record from Alexandria describes crystalline Cu2SnCl8 at its relaxed geometry. The functional is PBE-GGA.

Lattice parameters (Å, degrees): 6.238 7.530 7.530 90.15 77.83 77.83
Fractional positions:
Sn: 0.000 0.000 0.000
Cl: 0.804 0.747 0.063
Cl: 0.314 0.781 0.781
Cl: 0.179 0.424 0.424
Cl: 0.821 0.576 0.576
Cl: 0.196 0.937 0.253
Cl: 0.196 0.253 0.937
Cl: 0.804 0.063 0.747
Cl: 0.686 0.219 0.219
Cu: 0.663 0.791 0.791
Cu: 0.337 0.209 0.209

Results
* symmetry: C2/m (12)
* crystal system: monoclinic


## x
This record from Alexandria describes crystalline Cu2SnCl8 at its relaxed geometry. The functional is PBE-GGA.

Lattice parameters (Å, degrees): 7.276 6.953 10.440 115.70 90.00 121.55
Fractional positions:
Cl: 0.388 0.775 0.539
Cl: 0.051 0.647 0.864
Cl: 0.949 0.353 0.136
Cl: 0.008 0.016 0.765
Cl: 0.612 0.225 0.461
Cl: 0.596 0.647 0.864
Cl: 0.404 0.353 0.136
Cl: 0.992 0.984 0.235
Cu: 0.782 0.563 0.673
Cu: 0.218 0.437 0.327
Sn: 0.000 0.000 0.000

Results
* symmetry: C2/m (12)
* crystal system: monoclinic
* N(E_F): 10.12 states/eV/cell


The least stable of them is x.


## w
This record from Alexandria describes crystalline SrCuCl2 at its relaxed geometry. The functional is PBE-GGA.

Lattice parameters (Å, degrees): 6.114 6.114 6.114 140.25 140.25 57.47
Fractional positions:
Cl: 0.000 0.000 0.000
Cl: 0.250 0.750 0.500
Cu: 0.500 0.500 0.000
Sr: 0.750 0.250 0.500

Results
* symmetry: I-4m2 (119)
* crystal system: tetragonal
* N(E_F): 1.36 states/eV/cell


## x
This record from Alexandria describes crystalline SrCuCl2 at its relaxed geometry. The functional is PBE-GGA.

Lattice parameters (Å, degrees): 3.962 3.637 6.750 89.97 90.00 90.00
Fractional positions:
Cu: 0.500 0.250 0.250
Cl: 0.000 0.249 0.519
Cl: 0.000 0.251 0.981
Sr: 0.500 0.750 0.750

Results
* symmetry: Pmmm (47)
* crystal system: orthorhombic
* N(E_F): 1.89 states/eV/cell


The least stable of them is x.


## w
This record from Alexandria describes crystalline SrCuCl2 at its relaxed geometry. The functional is PBE-GGA.

Lattice parameters (Å, degrees): 5.191 5.191 9.139 73.50 73.50 90.00
Fractional positions:
Cl: 0.875 0.839 0.750
Cl: 0.161 0.625 0.250
Cl: 0.589 0.125 0.250
Cl: 0.375 0.411 0.750
Cu: 0.250 0.750 0.500
Cu: 0.500 0.500 0.000
Sr: 0.000 0.000 0.000
Sr: 0.750 0.250 0.500

Results
* symmetry: I-42d (122)
* crystal system: tetragonal
* N(E_F): 2.17 states/eV/cell


## x
This record from Alexandria describes crystalline SrCuCl2 at its relaxed geometry. The functional is PBE-GGA.

Lattice parameters (Å, degrees): 5.130 5.130 5.130 60.00 60.00 60.00
Fractional positions:
Cl: 0.000 0.000 0.000
Cl: 0.250 0.250 0.250
Cu: 0.500 0.500 0.500
Sr: 0.750 0.750 0.750

Results
* symmetry: F-43m (216)
* crystal system: cubic
* N(E_F): 2.53 states/eV/cell


## y
This record from Alexandria describes crystalline SrCuCl2 at its relaxed geometry. The functional is PBE-GGA.

Lattice parameters (Å, degrees): 5.085 5.085 5.085 60.00 60.00 60.00
Fractional positions:
Cl: 0.250 0.250 0.250
Cl: 0.750 0.750 0.750
Cu: 0.000 0.000 0.000
Sr: 0.500 0.500 0.500

Results
* symmetry: Fm-3m (225)
* crystal system: cubic
* N(E_F): 1.67 states/eV/cell


The least stable of them is x.